## LiCaGaAg3 (PBE)

Data for LiCaGaAg3 after structural relaxation.

Calculated values
* SG: No. 63
* magnetization: 0.0 Bohr magnetons per cell
* energy of formation from the pure elements: -0.16 eV per atom
* N(E_F): 0.370 states/eV/atom

abc: 7.228 7.228 6.022
angles: 90.00 90.00 129.52
Element x y z (fractional)
Li  0.087  0.913  0.750
Li  0.913  0.087  0.250
Ca  0.305  0.695  0.750
Ca  0.695  0.305  0.250
Ga  0.355  0.645  0.250
Ga  0.645  0.355  0.750
Ag  0.149  0.851  0.250
Ag  0.274  0.274  0.000
Ag  0.274  0.274  0.500
Ag  0.726  0.726  0.000
Ag  0.726  0.726  0.500
Ag  0.851  0.149  0.750